DFT (GGA+U) results for a geometry-optimized NaV2PdO6 structure.

Unit cell a=11.578 b=9.586 c=5.984 alpha=90.00 beta=114.47 gamma=90.00
Space group C2/c (No. 15)
Asymmetric unit:
Na1 0.000 0.098 0.250 x4
V1 0.196 0.406 0.208 x8
Pd1 0.000 0.229 0.750 x4
O1 0.124 0.246 0.123 x8
O2 0.144 0.115 0.665 x8
O3 0.152 0.483 0.439 x8

final energy = -6.6634 eV/atom
ρ = 3.6 g/cm3
crystal system = monoclinic